Record 1
The following is a DFT calculation (GGA-PBE) of a geometry-optimized SrInRe2 structure.

a = 2.8639 Å, b = 2.8639 Å, c = 9.6425 Å
α = 90.00°, β = 90.00°, γ = 90.00°
With the nearest neighbours (Å) after each atom.
Fractional positions:
Sr 0.5000 0.5000 0.2500  4 Sr 2.86
Re 0.0000 0.0000 0.9738  4 Re 2.86, 4 In 2.96
Re 0.0000 0.0000 0.5262  4 Re 2.86, 4 In 2.96
In 0.5000 0.5000 0.7500  4 In 2.86, 8 Re 2.96

Space group ... No. 123
Final energy ... -25.0 eV/f.u.

***

Record 2
The following is a DFT calculation (GGA-PBE) of a geometry-optimized SrInRe2 structure.

a = 5.8620 Å, b = 5.8620 Å, c = 2.7779 Å
α = 80.06°, β = 80.06°, γ = 119.31°
With the nearest neighbours (Å) after each atom.
Fractional positions:
In 0.0000 0.5000 0.5000  2 In 2.78, 2 Sr 2.96, 4 Re 3.02
Re 0.5000 0.5000 0.0000  4 Re 2.78-2.96, 2 Sr 3.02, 2 In 3.02
Re 0.0000 0.0000 0.0000  4 Re 2.78-2.96, 2 In 3.02, 2 Sr 3.02
Sr 0.5000 0.0000 0.5000  2 Sr 2.78, 2 In 2.96, 4 Re 3.02

Space group ... No. 12
Final energy ... -25.2 eV/f.u.

***

Record 3
The following is a DFT calculation (GGA-PBE) of a geometry-optimized SrIn2Re structure.

a = 3.6230 Å, b = 3.6191 Å, c = 7.7931 Å
α = 90.00°, β = 90.00°, γ = 90.00°
With the nearest neighbours (Å) after each atom.
Fractional positions:
In 0.5000 0.5000 0.3011  4 Re 2.75
In 0.0000 0.0000 0.0526  1 Re 2.93, 4 In 3.21
Re 0.0000 0.0000 0.4284  5 In 2.75-2.93
Sr 0.5000 0.5000 0.7180  1 In 3.25, 4 Re 3.41, 4 Sr 3.62

Space group ... No. 99
Final energy ... -17.8 eV/f.u.

***

Record 4
The following is a DFT calculation (GGA-PBE) of a geometry-optimized SrInRe2 structure.

a = 3.4371 Å, b = 4.7290 Å, c = 4.8757 Å
α = 90.00°, β = 90.00°, γ = 90.00°
With the nearest neighbours (Å) after each atom.
Fractional positions:
Sr 0.5000 0.0000 0.5000  4 In 2.92, 4 Re 2.98
Re 0.0000 0.0000 0.0000  4 Re 2.92, 4 Sr 2.98
Re 0.5000 0.5000 0.0000  4 Re 2.92, 4 In 2.98
In 0.0000 0.5000 0.5000  4 Sr 2.92, 4 Re 2.98

Space group ... No. 47
Final energy ... -24.9 eV/f.u.

***

Record 5
The following is a DFT calculation (GGA-PBE) of a geometry-optimized SrInRe2 structure.

a = 2.9295 Å, b = 4.5460 Å, c = 6.6514 Å
α = 90.00°, β = 90.00°, γ = 90.00°
With the nearest neighbours (Å) after each atom.
Fractional positions:
Re 0.0000 0.0000 0.9249  1 Re 2.33
Re 0.0000 0.0000 0.5751  1 Re 2.33
Sr 0.5000 0.5000 0.2500  2 Sr 2.93
In 0.5000 0.5000 0.7500  2 In 2.93, 8 Re 2.94

Space group ... No. 47
Final energy ... -26.0 eV/f.u.

***

Record 6
The following is a DFT calculation (GGA-PBE) of a geometry-optimized SrIn2Re structure.

a = 5.0828 Å, b = 5.0828 Å, c = 5.0828 Å
α = 60.00°, β = 60.00°, γ = 60.00°
With the nearest neighbours (Å) after each atom.
Fractional positions:
In 0.2500 0.2500 0.2500  4 In 3.11, 4 Re 3.11
In 0.0000 0.0000 0.0000  4 Sr 3.11, 4 In 3.11
Re 0.5000 0.5000 0.5000  4 In 3.11, 4 Sr 3.11
Sr 0.7500 0.7500 0.7500  4 In 3.11, 4 Re 3.11

Space group ... No. 216
Final energy ... -16.6 eV/f.u.

***

Record 7
The following is a DFT calculation (GGA-PBE) of a geometry-optimized Sr2InRe structure.

a = 3.7180 Å, b = 3.7175 Å, c = 8.9435 Å
α = 90.00°, β = 90.00°, γ = 90.00°
With the nearest neighbours (Å) after each atom.
Fractional positions:
Re 0.5000 0.5000 0.6774  4 In 2.79
Sr 0.0000 0.0000 0.9224  1 In 3.13, 4 Re 3.42
Sr 0.5000 0.5000 0.3272  1 Re 3.13, 4 In 3.43
In 0.0000 0.0000 0.5730  4 Re 2.79

Space group ... No. 99
Final energy ... -16.7 eV/f.u.

***

Record 8
The following is a DFT calculation (GGA-PBE) of a geometry-optimized SrInRe2 structure.

a = 3.1623 Å, b = 3.1623 Å, c = 8.5741 Å
α = 90.00°, β = 90.00°, γ = 90.00°
With the nearest neighbours (Å) after each atom.
Fractional positions:
Re 0.0000 0.0000 0.0400  4 Re 2.57
Re 0.5000 0.5000 0.1874  4 Re 2.57
In 0.5000 0.5000 0.7955  5 Re 3.06-3.36, 4 In 3.16
Sr 0.0000 0.0000 0.4771  4 Sr 3.16, 4 Re 3.34, 4 In 3.53

Space group ... No. 99
Final energy ... -28.2 eV/f.u.

***

Record 9
The following is a DFT calculation (GGA-PBE) of a geometry-optimized SrInRe structure.

a = 5.1241 Å, b = 5.1241 Å, c = 5.1241 Å
α = 60.00°, β = 60.00°, γ = 60.00°
With the nearest neighbours (Å) after each atom.
Fractional positions:
In 0.0000 0.0000 0.0000  4 Sr 3.14
Re 0.5000 0.5000 0.5000  4 Sr 3.14
Sr 0.2500 0.2500 0.2500  4 In 3.14, 4 Re 3.14

Space group ... No. 216
ΔE to the lowest computed polymorph ... 1037 meV/atom

***

Record 10
The following is a DFT calculation (GGA-PBE) of a geometry-optimized SrInRe2 structure.

a = 4.8068 Å, b = 4.8068 Å, c = 4.8068 Å
α = 120.07°, β = 120.07°, γ = 89.89°
With the nearest neighbours (Å) after each atom.
Fractional positions:
Re 0.2500 0.7500 0.5000  4 Re 2.94, 4 Sr 2.94
Re 0.0000 0.0000 0.0000  4 In 2.94, 4 Re 2.94
In 0.7500 0.2500 0.5000  4 Sr 2.94, 4 Re 2.94
Sr 0.5000 0.5000 0.0000  4 In 2.94, 4 Re 2.94

Space group ... No. 216
Final energy ... -25.7 eV/f.u.

***

Record 11
The following is a DFT calculation (GGA-PBE) of a geometry-optimized SrInRe2 structure.

a = 2.8633 Å, b = 2.8633 Å, c = 9.8096 Å
α = 90.00°, β = 90.00°, γ = 103.61°
With the nearest neighbours (Å) after each atom.
Fractional positions:
Sr 0.5000 0.5000 0.2500  4 Sr 2.86
In 0.5000 0.5000 0.7500  8 Re 2.84-3.16, 4 In 2.86
Re 0.0000 0.0000 0.5233  4 In 2.84-3.16, 4 Re 2.86
Re 0.0000 0.0000 0.9767  4 In 2.84-3.16, 4 Re 2.86

Space group ... No. 65
Final energy ... -25.2 eV/f.u.

***

Record 12
The following is a DFT calculation (GGA-PBE) of a geometry-optimized SrInRe2 structure.

a = 6.1814 Å, b = 6.1814 Å, c = 6.1814 Å
α = 153.69°, β = 129.33°, γ = 57.99°
With the nearest neighbours (Å) after each atom.
Fractional positions:
Re 0.9718 0.9718 0.0000  2 In 2.78, 6 Re 2.81-3.06
Re 0.5282 0.5282 0.0000  2 In 2.78, 6 Re 2.81-3.06
Sr 0.2500 0.7500 0.5000  2 Sr 2.81, 4 In 3.00
In 0.7500 0.2500 0.5000  4 Re 2.78, 2 In 2.81, 4 Sr 3.00

Space group ... No. 71
Final energy ... -25.0 eV/f.u.

***

In the order shown, the computed DOS at the Fermi energy values come out to 1.296; 0.630; 0.703; 0.814; 0.896; 1.024; 0.680; 0.731; 0.817; 0.768; 0.687; 0.918 states/eV per atom.